# 1
Density functional theory data (GGA-PBE) for an optimized crystal structure of RhAuSeN2.

```
RhAuSeN2
1.0
3.7744 0.0000 0.0000
0.0000 3.7744 0.0000
0.0000 0.0000 5.7893
Rh Au Se N
1 1 1 2
Cartesian
0.0000 0.0000 0.0000
1.8872 1.8872 2.8946
0.0000 0.0000 2.8946
0.0000 1.8872 0.0000
1.8872 0.0000 0.0000
```

ΔE_f (raw) ... 1027.7 meV/atom
SG ... P4/mmm
Energy relative to the lowest polymorph listed for this composition ... 0 meV per atom

# 2
Density functional theory data (GGA-PBE) for an optimized crystal structure of YTlPt2.

```
YTlPt2
1.0
2.3068 1.3318 4.9138
-2.3068 1.3318 4.9138
0.0000 -2.6637 4.9138
Y Tl Pt
1 1 2
Cartesian
0.0000 0.0000 0.0000
0.0000 0.0000 11.6438
0.0000 0.0000 2.9372
0.0000 0.0000 8.7163
```

SG ... R3m
E_form ... -0.600 eV/atom

# 3
Density functional theory data (GGA-PBE) for an optimized crystal structure of CoOs2Se.

```
CoOs2Se
1.0
1.4188 0.8191 8.1654
-1.4188 0.8191 8.1654
0.0000 -1.6383 8.1654
Co Os Se
1 2 1
Cartesian
0.0000 0.0000 0.0000
0.0000 0.0000 6.1630
0.0000 0.0000 18.3333
0.0000 0.0000 12.2481
```

ΔE_f (raw) ... 619.3 meV/atom
SG ... R-3m